VASP calculation (PBE) on a relaxed Ca2SnHgPt crystal.

Properties
Energy of formation = 40.3 meV/atom
Uncorrected energy = -2.829 eV per atom

Cell: 5.626 5.626 5.048 Å, 90.00 90.00 90.00°
Space group P4/mmm (No. 123)
Unique sites:
Ca  0.000  0.500  0.000
Sn  0.000  0.000  0.500
Hg  0.500  0.500  0.000
Pt  0.500  0.500  0.500